1.
A relaxed Mg3W crystal, computed with PBE.

Output
Final energy, eV per atom: -4.150
ΔE_f, meV/atom: 285
SG: Cmmm

CIF file:
```
data_Mg3W
_chemical_formula_sum 'Mg3 W1'
_cell_length_a 2.8544
_cell_length_b 2.8544
_cell_length_c 9.6659
_cell_angle_alpha 90.00
_cell_angle_beta 90.00
_cell_angle_gamma 104.28
_symmetry_space_group_name_H-M 'P 1'
_symmetry_Int_Tables_number 1
loop_
_symmetry_equiv_pos_as_xyz
'x,y,z'
loop_
_atom_site_label
_atom_site_fract_x
_atom_site_fract_y
_atom_site_fract_z
Mg1 0.0000 0.0000 0.0000
Mg2 0.5000 0.5000 0.2685
Mg3 0.5000 0.5000 0.7315
W1 0.0000 0.0000 0.5000
```

2.
A relaxed Nd5Sm3 crystal, computed with PBE.

Output
Final energy, eV per atom: -4.735
ΔE_f, meV/atom: 15
SG: P4/mmm

CIF file:
```
data_Nd5Sm3
_chemical_formula_sum 'Nd5 Sm3'
_cell_length_a 3.6642
_cell_length_b 3.6642
_cell_length_c 20.7193
_cell_angle_alpha 90.00
_cell_angle_beta 90.00
_cell_angle_gamma 90.00
_symmetry_space_group_name_H-M 'P 1'
_symmetry_Int_Tables_number 1
loop_
_symmetry_equiv_pos_as_xyz
'x,y,z'
loop_
_atom_site_label
_atom_site_fract_x
_atom_site_fract_y
_atom_site_fract_z
Nd1 0.0000 0.0000 0.0000
Nd2 0.0000 0.0000 0.2494
Nd3 0.0000 0.0000 0.7506
Nd4 0.5000 0.5000 0.3755
Nd5 0.5000 0.5000 0.6245
Sm1 0.0000 0.0000 0.5000
Sm2 0.5000 0.5000 0.1246
Sm3 0.5000 0.5000 0.8754
```

3.
A relaxed CaLaSiAg crystal, computed with PBE.

Output
Raw formation energy, meV/atom: -442
Final energy, eV per atom: -4.243
SG: F-43m

CIF file:
```
data_CaLaSiAg
_chemical_formula_sum 'Ca1 La1 Si1 Ag1'
_cell_length_a 5.2403
_cell_length_b 5.2403
_cell_length_c 5.2403
_cell_angle_alpha 60.00
_cell_angle_beta 60.00
_cell_angle_gamma 60.00
_symmetry_space_group_name_H-M 'P 1'
_symmetry_Int_Tables_number 1
loop_
_symmetry_equiv_pos_as_xyz
'x,y,z'
loop_
_atom_site_label
_atom_site_fract_x
_atom_site_fract_y
_atom_site_fract_z
Ca1 0.0000 0.0000 0.0000
La1 0.5000 0.5000 0.5000
Si1 0.7500 0.7500 0.7500
Ag1 0.2500 0.2500 0.2500
```

4.
A relaxed CsPb3Au2 crystal, computed with PBE.

Output
Final energy, eV per atom: -3.181
ΔE_f, meV/atom: -93
SG: C2/m

CIF file:
```
data_CsPb3Au2
_chemical_formula_sum 'Cs2 Pb6 Au4'
_cell_length_a 9.4475
_cell_length_b 9.4475
_cell_length_c 9.8598
_cell_angle_alpha 113.51
_cell_angle_beta 113.51
_cell_angle_gamma 31.83
_symmetry_space_group_name_H-M 'P 1'
_symmetry_Int_Tables_number 1
loop_
_symmetry_equiv_pos_as_xyz
'x,y,z'
loop_
_atom_site_label
_atom_site_fract_x
_atom_site_fract_y
_atom_site_fract_z
Cs1 0.1230 0.1230 0.0396
Cs2 0.8770 0.8770 0.9604
Pb1 0.0617 0.0617 0.4216
Pb2 0.3026 0.3026 0.5863
Pb3 0.3692 0.3692 0.3091
Pb4 0.6308 0.6308 0.6909
Pb5 0.6974 0.6974 0.4137
Pb6 0.9383 0.9383 0.5784
Au1 0.2071 0.2071 0.7609
Au2 0.4808 0.4808 0.7235
Au3 0.5192 0.5192 0.2765
Au4 0.7929 0.7929 0.2391
```

5.
A relaxed Hg3Pd2Pb8 crystal, computed with PBE.

Output
Final energy, eV per atom: -3.195
ΔE_f, meV/atom: -45
SG: C2/m

CIF file:
```
data_Hg3Pd2Pb8
_chemical_formula_sum 'Hg3 Pd2 Pb8'
_cell_length_a 8.5647
_cell_length_b 8.5647
_cell_length_c 5.6792
_cell_angle_alpha 99.52
_cell_angle_beta 99.52
_cell_angle_gamma 64.84
_symmetry_space_group_name_H-M 'P 1'
_symmetry_Int_Tables_number 1
loop_
_symmetry_equiv_pos_as_xyz
'x,y,z'
loop_
_atom_site_label
_atom_site_fract_x
_atom_site_fract_y
_atom_site_fract_z
Hg1 0.0000 0.0000 0.0000
Hg2 0.2328 0.7672 0.5000
Hg3 0.7672 0.2328 0.5000
Pd1 0.2016 0.2016 0.0872
Pd2 0.7984 0.7984 0.9128
Pb1 0.1558 0.1558 0.5728
Pb2 0.1571 0.5554 0.9450
Pb3 0.3677 0.3677 0.4475
Pb4 0.4446 0.8429 0.0550
Pb5 0.5554 0.1571 0.9450
Pb6 0.6323 0.6323 0.5525
Pb7 0.8429 0.4446 0.0550
Pb8 0.8442 0.8442 0.4272
```

6.
A relaxed LiIF2 crystal, computed with PBE.

Output
Raw formation energy, meV/atom: -1661
Final energy, eV per atom: -3.463
SG: R-3m

CIF file:
```
data_LiIF2
_chemical_formula_sum 'Li1 I1 F2'
_cell_length_a 6.4676
_cell_length_b 6.4676
_cell_length_c 6.4676
_cell_angle_alpha 33.72
_cell_angle_beta 33.72
_cell_angle_gamma 33.72
_symmetry_space_group_name_H-M 'P 1'
_symmetry_Int_Tables_number 1
loop_
_symmetry_equiv_pos_as_xyz
'x,y,z'
loop_
_atom_site_label
_atom_site_fract_x
_atom_site_fract_y
_atom_site_fract_z
Li1 0.0000 0.0000 0.0000
I1 0.5000 0.5000 0.5000
F1 0.3815 0.3815 0.3815
F2 0.6185 0.6185 0.6185
```

7.
A relaxed TcPdS2Cl crystal, computed with PBE.

Output
Raw formation energy, meV/atom: 357
Final energy, eV per atom: -4.775
SG: P4/mmm

CIF file:
```
data_TcPdS2Cl
_chemical_formula_sum 'Tc1 Pd1 S2 Cl1'
_cell_length_a 4.5269
_cell_length_b 4.5269
_cell_length_c 5.0232
_cell_angle_alpha 90.00
_cell_angle_beta 90.00
_cell_angle_gamma 90.00
_symmetry_space_group_name_H-M 'P 1'
_symmetry_Int_Tables_number 1
loop_
_symmetry_equiv_pos_as_xyz
'x,y,z'
loop_
_atom_site_label
_atom_site_fract_x
_atom_site_fract_y
_atom_site_fract_z
Tc1 0.0000 0.0000 0.0000
Pd1 0.5000 0.5000 0.5000
S1 0.0000 0.5000 0.0000
S2 0.5000 0.0000 0.0000
Cl1 0.0000 0.0000 0.5000
```

8.
A relaxed CdPd2C crystal, computed with PBE.

Output
Final energy, eV per atom: -4.052
ΔE_f, meV/atom: 1080
SG: Fm-3m

CIF file:
```
data_CdPd2C
_chemical_formula_sum 'Cd1 Pd2 C1'
_cell_length_a 4.3809
_cell_length_b 4.3809
_cell_length_c 4.3809
_cell_angle_alpha 60.00
_cell_angle_beta 60.00
_cell_angle_gamma 60.00
_symmetry_space_group_name_H-M 'P 1'
_symmetry_Int_Tables_number 1
loop_
_symmetry_equiv_pos_as_xyz
'x,y,z'
loop_
_atom_site_label
_atom_site_fract_x
_atom_site_fract_y
_atom_site_fract_z
Cd1 0.0000 0.0000 0.0000
Pd1 0.2500 0.2500 0.2500
Pd2 0.7500 0.7500 0.7500
C1 0.5000 0.5000 0.5000
```

9.
A relaxed KSi2Mo crystal, computed with PBE.

Output
Raw formation energy, meV/atom: 110
Final energy, eV per atom: -5.584
SG: C2/m

CIF file:
```
data_KSi2Mo
_chemical_formula_sum 'K1 Si2 Mo1'
_cell_length_a 4.5186
_cell_length_b 4.5186
_cell_length_c 6.8147
_cell_angle_alpha 101.15
_cell_angle_beta 101.15
_cell_angle_gamma 42.30
_symmetry_space_group_name_H-M 'P 1'
_symmetry_Int_Tables_number 1
loop_
_symmetry_equiv_pos_as_xyz
'x,y,z'
loop_
_atom_site_label
_atom_site_fract_x
_atom_site_fract_y
_atom_site_fract_z
K1 0.0000 0.0000 0.0000
Si1 0.2263 0.2263 0.6228
Si2 0.7737 0.7737 0.3772
Mo1 0.5000 0.5000 0.5000
```

10.
A relaxed TmSc2UP4 crystal, computed with PBE.

Output
Final energy, eV per atom: -7.645
ΔE_f, meV/atom: -1388
SG: P2/m

CIF file:
```
data_TmSc2UP4
_chemical_formula_sum 'Tm1 Sc2 U1 P4'
_cell_length_a 6.6393
_cell_length_b 3.8448
_cell_length_c 6.6759
_cell_angle_alpha 90.00
_cell_angle_beta 109.34
_cell_angle_gamma 90.00
_symmetry_space_group_name_H-M 'P 1'
_symmetry_Int_Tables_number 1
loop_
_symmetry_equiv_pos_as_xyz
'x,y,z'
loop_
_atom_site_label
_atom_site_fract_x
_atom_site_fract_y
_atom_site_fract_z
Tm1 0.0000 0.0000 0.0000
Sc1 0.5000 0.0000 0.5000
Sc2 0.5000 0.5000 0.0000
U1 0.0000 0.5000 0.5000
P1 0.2589 0.5000 0.2565
P2 0.2604 0.0000 0.7525
P3 0.7396 0.0000 0.2475
P4 0.7411 0.5000 0.7435
```

11.
A relaxed Ir2Au crystal, computed with PBE.

Output
Final energy, eV per atom: -6.713
ΔE_f, meV/atom: 287
SG: C2/m

CIF file:
```
data_Ir2Au
_chemical_formula_sum 'Ir4 Au2'
_cell_length_a 5.3142
_cell_length_b 5.3142
_cell_length_c 6.9229
_cell_angle_alpha 106.15
_cell_angle_beta 106.15
_cell_angle_gamma 30.32
_symmetry_space_group_name_H-M 'P 1'
_symmetry_Int_Tables_number 1
loop_
_symmetry_equiv_pos_as_xyz
'x,y,z'
loop_
_atom_site_label
_atom_site_fract_x
_atom_site_fract_y
_atom_site_fract_z
Ir1 0.0276 0.0276 0.3241
Ir2 0.3079 0.3079 0.3759
Ir3 0.6921 0.6921 0.6241
Ir4 0.9724 0.9724 0.6759
Au1 0.3628 0.3628 0.9715
Au2 0.6372 0.6372 0.0285
```

12.
A relaxed TbPm2Sm2Y2 crystal, computed with PBE.

Output
Final energy, eV per atom: -5.083
ΔE_f, meV/atom: 130
SG: R-3m

CIF file:
```
data_TbPm2Sm2Y2
_chemical_formula_sum 'Tb1 Pm2 Sm2 Y2'
_cell_length_a 8.8365
_cell_length_b 8.8365
_cell_length_c 8.8365
_cell_angle_alpha 37.99
_cell_angle_beta 37.99
_cell_angle_gamma 37.99
_symmetry_space_group_name_H-M 'P 1'
_symmetry_Int_Tables_number 1
loop_
_symmetry_equiv_pos_as_xyz
'x,y,z'
loop_
_atom_site_label
_atom_site_fract_x
_atom_site_fract_y
_atom_site_fract_z
Tb1 0.0000 0.0000 0.0000
Pm1 0.1394 0.1394 0.1394
Pm2 0.8606 0.8606 0.8606
Sm1 0.2819 0.2819 0.2819
Sm2 0.7181 0.7181 0.7181
Y1 0.4271 0.4271 0.4271
Y2 0.5729 0.5729 0.5729
```